# SrMgTa4 PBE optimized geometry
data_SrMgTa4
_cell_length_a 5.754
_cell_length_b 5.754
_cell_length_c 5.754
_cell_angle_alpha 60.00
_cell_angle_beta 60.00
_cell_angle_gamma 60.00
_space_group_name_H-M_alt 'P 1'
_space_group_IT_number 1
_space_group_name_Hall 'P 1'
loop_
_atom_site_label
_atom_site_type_symbol
_atom_site_fract_x
_atom_site_fract_y
_atom_site_fract_z
_atom_site_occupancy
Sr1 Sr 0.000 0.000 0.000 1
Mg1 Mg 0.250 0.250 0.250 1
Ta1 Ta 0.117 0.628 0.628 1
Ta2 Ta 0.628 0.117 0.628 1
Ta3 Ta 0.628 0.628 0.117 1
Ta4 Ta 0.628 0.628 0.628 1
# - N(E_F) (states/eV/atom) = 1.089
# - formation enthalpy at 0 K (kJ/mol of formula units) = 362
# - VASP energy (eV for the cell shown) = -46.94

=====

# Y2AsPb PBE optimized geometry
data_Y2AsPb
_cell_length_a 6.302
_cell_length_b 6.302
_cell_length_c 6.302
_cell_angle_alpha 139.71
_cell_angle_beta 139.71
_cell_angle_gamma 58.29
_space_group_name_H-M_alt 'P 1'
_space_group_IT_number 1
_space_group_name_Hall 'P 1'
loop_
_atom_site_label
_atom_site_type_symbol
_atom_site_fract_x
_atom_site_fract_y
_atom_site_fract_z
_atom_site_occupancy
Y1 Y 0.000 0.000 0.000 1
Y2 Y 0.750 0.250 0.500 1
As1 As 0.250 0.750 0.500 1
Pb1 Pb 0.500 0.500 0.000 1
# - N(E_F) (states/eV/atom) = 0.273
# - energy above the lowest structure with this stoichiometry (eV per atom) = 0.291
# - formation enthalpy at 0 K (kJ/mol of formula units) = -280
# - VASP energy (eV for the cell shown) = -24.18

=====

# TbCeSm4 PBE optimized geometry
data_TbCeSm4
_cell_length_a 6.243
_cell_length_b 6.243
_cell_length_c 6.232
_cell_angle_alpha 99.58
_cell_angle_beta 99.58
_cell_angle_gamma 120.06
_space_group_name_H-M_alt 'P 1'
_space_group_IT_number 1
_space_group_name_Hall 'P 1'
loop_
_atom_site_label
_atom_site_type_symbol
_atom_site_fract_x
_atom_site_fract_y
_atom_site_fract_z
_atom_site_occupancy
Tb1 Tb 0.000 0.000 0.000 1
Ce1 Ce 0.500 0.500 0.500 1
Sm1 Sm 0.166 0.834 0.500 1
Sm2 Sm 0.336 0.664 0.000 1
Sm3 Sm 0.664 0.336 0.000 1
Sm4 Sm 0.834 0.166 0.500 1
# - N(E_F) (states/eV/atom) = 2.069
# - energy above the lowest structure with this stoichiometry (eV per atom) = 0.000
# - formation enthalpy at 0 K (kJ/mol of formula units) = 35
# - VASP energy (eV for the cell shown) = -29.08

=====

# Rb3PuNp2Te6 PBE optimized geometry
data_Rb3PuNp2Te6
_cell_length_a 7.914
_cell_length_b 7.914
_cell_length_c 8.738
_cell_angle_alpha 90.00
_cell_angle_beta 90.00
_cell_angle_gamma 120.00
_space_group_name_H-M_alt 'P 1'
_space_group_IT_number 1
_space_group_name_Hall 'P 1'
loop_
_atom_site_label
_atom_site_type_symbol
_atom_site_fract_x
_atom_site_fract_y
_atom_site_fract_z
_atom_site_occupancy
Rb1 Rb 0.000 0.000 0.000 1
Rb2 Rb 0.333 0.667 0.000 1
Rb3 Rb 0.667 0.333 0.000 1
Pu1 Pu 0.000 0.000 0.500 1
Np1 Np 0.333 0.667 0.500 1
Np2 Np 0.667 0.333 0.500 1
Te1 Te 0.000 0.336 0.698 1
Te2 Te 0.000 0.664 0.302 1
Te3 Te 0.336 0.000 0.698 1
Te4 Te 0.336 0.336 0.302 1
Te5 Te 0.664 0.000 0.302 1
Te6 Te 0.664 0.664 0.698 1
# - N(E_F) (states/eV/atom) = 2.840
# - formation energy (no corrections) (eV per formula unit) = -11.24
# - VASP energy (eV for the cell shown) = -73.21

=====

# CeSmHoHf PBE optimized geometry
data_CeSmHoHf
_cell_length_a 5.442
_cell_length_b 5.442
_cell_length_c 5.442
_cell_angle_alpha 60.00
_cell_angle_beta 60.00
_cell_angle_gamma 60.00
_space_group_name_H-M_alt 'P 1'
_space_group_IT_number 1
_space_group_name_Hall 'P 1'
loop_
_atom_site_label
_atom_site_type_symbol
_atom_site_fract_x
_atom_site_fract_y
_atom_site_fract_z
_atom_site_occupancy
Ce1 Ce 0.000 0.000 0.000 1
Sm1 Sm 0.500 0.500 0.500 1
Ho1 Ho 0.250 0.250 0.250 1
Hf1 Hf 0.750 0.750 0.750 1
# - N(E_F) (states/eV/atom) = 2.120
# - formation enthalpy at 0 K (kJ/mol of formula units) = 103
# - VASP energy (eV for the cell shown) = -24.12

=====

# Be2PRh PBE optimized geometry
data_Be2PRh
_cell_length_a 4.331
_cell_length_b 4.331
_cell_length_c 4.331
_cell_angle_alpha 132.77
_cell_angle_beta 132.77
_cell_angle_gamma 69.01
_space_group_name_H-M_alt 'P 1'
_space_group_IT_number 1
_space_group_name_Hall 'P 1'
loop_
_atom_site_label
_atom_site_type_symbol
_atom_site_fract_x
_atom_site_fract_y
_atom_site_fract_z
_atom_site_occupancy
Be1 Be 0.250 0.750 0.500 1
Be2 Be 0.750 0.250 0.500 1
P1 P 0.000 0.000 0.000 1
Rh1 Rh 0.500 0.500 0.000 1
# - N(E_F) (states/eV/atom) = 0.269
# - formation enthalpy at 0 K (kJ/mol of formula units) = -101
# - VASP energy (eV for the cell shown) = -21.26